# 1
Computed, not measured: a relaxed structure of Nd3AlZn2 at the GGA-PBE level of DFT.

a = 5.2392 Å, b = 5.2392 Å, c = 12.8273 Å
α = 90.00°, β = 90.00°, γ = 120.00°
Sites, in units of the cell vectors:
Nd 0.3333 0.6667 0.4173
Nd 0.6667 0.3333 0.0810
Nd 0.0000 0.0000 0.7517
Nd 0.0000 0.0000 0.2483
Nd 0.3333 0.6667 0.9190
Nd 0.6667 0.3333 0.5827
Al 0.3333 0.6667 0.6681
Al 0.6667 0.3333 0.3319
Zn 0.0000 0.0000 0.5000
Zn 0.3333 0.6667 0.1689
Zn 0.6667 0.3333 0.8311
Zn 0.0000 0.0000 0.0000

Computed properties:
DFT formation energy   -0.318 eV/atom
Crystal system   trigonal
DOS at the Fermi energy   13.3 states/eV/cell
E   -44.999 eV per cell

---

# 2
Computed, not measured: a relaxed structure of NdZrAlZn at the GGA-PBE level of DFT.

a = 4.9958 Å, b = 4.9958 Å, c = 4.9958 Å
α = 60.00°, β = 60.00°, γ = 60.00°
Sites, in units of the cell vectors:
Zn 0.0000 0.0000 0.0000
Nd 0.7500 0.7500 0.7500
Al 0.5000 0.5000 0.5000
Zr 0.2500 0.2500 0.2500

Computed properties:
DFT formation energy   -0.248 eV/atom
Crystal system   cubic
DOS at the Fermi energy   1.3 states/eV/cell
E   -19.324 eV per cell

---

# 3
Computed, not measured: a relaxed structure of NdZr2Al6 at the GGA-PBE level of DFT.

a = 4.2752 Å, b = 7.7085 Å, c = 7.7085 Å
α = 53.80°, β = 73.90°, γ = 73.90°
Sites, in units of the cell vectors:
Nd 0.0000 0.0000 0.0000
Zr 0.8816 0.6184 0.6184
Zr 0.1184 0.3816 0.3816
Al 0.6907 0.0167 0.6019
Al 0.3093 0.9833 0.3981
Al 0.3093 0.3981 0.9833
Al 0.5000 0.6805 0.3195
Al 0.5000 0.3195 0.6805
Al 0.6907 0.6019 0.0167

Computed properties:
DFT formation energy   -0.294 eV/atom
Crystal system   orthorhombic
DOS at the Fermi energy   5.3 states/eV/cell
E   -46.969 eV per cell

---

# 4
Computed, not measured: a relaxed structure of NdZrAl4 at the GGA-PBE level of DFT.

a = 5.5114 Å, b = 5.5114 Å, c = 5.5114 Å
α = 60.00°, β = 60.00°, γ = 60.00°
Sites, in units of the cell vectors:
Nd 0.2500 0.2500 0.2500
Al 0.6254 0.6254 0.1238
Al 0.6254 0.1238 0.6254
Al 0.6254 0.6254 0.6254
Al 0.1238 0.6254 0.6254
Zr 0.0000 0.0000 0.0000

Computed properties:
DFT formation energy   -0.464 eV/atom
Crystal system   cubic
DOS at the Fermi energy   2.7 states/eV/cell
E   -31.068 eV per cell

---

# 5
Computed, not measured: a relaxed structure of NdZr2Al6 at the GGA-PBE level of DFT.

a = 3.3922 Å, b = 7.7463 Å, c = 7.7463 Å
α = 120.00°, β = 90.00°, γ = 90.00°
Sites, in units of the cell vectors:
Nd 0.0000 0.0000 0.0000
Zr 0.0000 0.3333 0.6667
Zr 0.0000 0.6667 0.3333
Al 0.5000 0.3382 0.3382
Al 0.5000 0.6618 0.6618
Al 0.5000 0.0000 0.6618
Al 0.5000 0.6618 0.0000
Al 0.5000 0.3382 0.0000
Al 0.5000 0.0000 0.3382

Computed properties:
DFT formation energy   -0.413 eV/atom
Crystal system   hexagonal
DOS at the Fermi energy   4.7 states/eV/cell
E   -48.038 eV per cell

---

# 6
Computed, not measured: a relaxed structure of Al5Ni3 at the GGA-PBE level of DFT.

a = 7.0268 Å, b = 7.0268 Å, c = 5.0468 Å
α = 90.00°, β = 90.00°, γ = 120.00°
Sites, in units of the cell vectors:
Al 0.3333 0.6667 0.0000
Al 0.6667 0.3333 0.5000
Al 0.6667 0.3333 0.0000
Al 0.3333 0.6667 0.5000
Al 0.2514 0.0000 0.2500
Al 0.7486 0.0000 0.7500
Al 0.0000 0.2514 0.2500
Al 0.7486 0.7486 0.2500
Al 0.2514 0.2514 0.7500
Al 0.0000 0.7486 0.7500
Ni 0.6049 0.0000 0.2500
Ni 0.3951 0.0000 0.7500
Ni 0.0000 0.6049 0.2500
Ni 0.3951 0.3951 0.2500
Ni 0.6049 0.6049 0.7500
Ni 0.0000 0.3951 0.7500

Computed properties:
DFT formation energy   -0.478 eV/atom
Crystal system   hexagonal
DOS at the Fermi energy   5.5 states/eV/cell
E   -79.758 eV per cell

---

# 7
Computed, not measured: a relaxed structure of Al3Ni at the GGA-PBE level of DFT.

a = 2.8163 Å, b = 3.6729 Å, c = 5.4851 Å
α = 90.00°, β = 90.00°, γ = 90.00°
Sites, in units of the cell vectors:
Ni 0.0000 0.0000 0.0000
Al 0.5000 0.5000 0.7646
Al 0.0000 0.0000 0.5000
Al 0.5000 0.5000 0.2354

Computed properties:
DFT formation energy   -0.238 eV/atom
Crystal system   orthorhombic
DOS at the Fermi energy   1.5 states/eV/cell
E   -17.962 eV per cell

---

# 8
Computed, not measured: a relaxed structure of AlNi5 at the GGA-PBE level of DFT.

a = 3.5641 Å, b = 4.3242 Å, c = 5.0088 Å
α = 106.04°, β = 90.00°, γ = 114.34°
Each line ends with the local moment (μB).
Sites, in units of the cell vectors:
Al 0.0000 0.0000 0.0000  -0.01
Ni 0.3336 0.6672 0.1704  0.25
Ni 0.0000 0.0000 0.5000  0.34
Ni 0.6664 0.3328 0.8296  0.25
Ni 0.6681 0.3363 0.3367  0.31
Ni 0.3319 0.6637 0.6633  0.31

Computed properties:
DFT formation energy   -0.266 eV/atom
Crystal system   monoclinic
DOS at the Fermi energy   8.7 states/eV/cell
E   -34.243 eV per cell

---

# 9
Computed, not measured: a relaxed structure of Al4Ni3 at the GGA-PBE level of DFT.

a = 9.8862 Å, b = 9.8862 Å, c = 9.8862 Å
α = 109.47°, β = 109.47°, γ = 109.47°
Sites, in units of the cell vectors:
Al 0.0000 0.5000 0.5000
Al 0.5000 0.0000 0.5000
Al 0.5000 0.5000 0.0000
Al 0.0000 0.0000 0.0000
Al 0.5000 0.5000 0.5000
Al 0.0000 0.5000 0.0000
Al 0.0000 0.0000 0.5000
Al 0.5000 0.0000 0.0000
Al 0.9912 0.2500 0.2412
Al 0.5088 0.7500 0.2588
Al 0.7588 0.5088 0.2500
Al 0.7412 0.9912 0.7500
Al 0.2500 0.7412 0.4912
Al 0.7500 0.7588 0.0088
Al 0.5088 0.7588 0.7500
Al 0.9912 0.7412 0.2500
Al 0.7412 0.7500 0.4912
Al 0.7588 0.2500 0.0088
Al 0.2500 0.5088 0.2588
Al 0.7500 0.9912 0.2412
Al 0.0088 0.7500 0.7588
Al 0.4912 0.2500 0.7412
Al 0.2412 0.4912 0.7500
Al 0.2588 0.0088 0.2500
Al 0.7500 0.2588 0.5088
Al 0.2500 0.2412 0.9912
Al 0.4912 0.2412 0.2500
Al 0.0088 0.2588 0.7500
Al 0.2588 0.2500 0.5088
Al 0.2412 0.7500 0.9912
Al 0.7500 0.4912 0.7412
Al 0.2500 0.0088 0.7588
Ni 0.5063 0.5125 0.7563
Ni 0.9937 0.7500 0.0063
Ni 0.2563 0.7500 0.7437
Ni 0.2437 0.9875 0.4937
Ni 0.5063 0.9937 0.2500
Ni 0.2563 0.5063 0.0125
Ni 0.9937 0.2437 0.4875
Ni 0.2437 0.2563 0.2500
Ni 0.9875 0.9937 0.7437
Ni 0.7500 0.2437 0.7563
Ni 0.7500 0.5063 0.4937
Ni 0.5125 0.2563 0.0063
Ni 0.4937 0.4875 0.2437
Ni 0.0063 0.2500 0.9937
Ni 0.7437 0.2500 0.2563
Ni 0.7563 0.0125 0.5063
Ni 0.4937 0.0063 0.7500
Ni 0.7437 0.4937 0.9875
Ni 0.0063 0.7563 0.5125
Ni 0.7563 0.7437 0.7500
Ni 0.0125 0.0063 0.2563
Ni 0.2500 0.7563 0.2437
Ni 0.2500 0.4937 0.5063
Ni 0.4875 0.7437 0.9937

Computed properties:
DFT formation energy   -0.629 eV/atom
Crystal system   cubic
DOS at the Fermi energy   19.4 states/eV/cell
E   -293.765 eV per cell

---

# 10
Computed, not measured: a relaxed structure of AlNi5 at the GGA-PBE level of DFT.

a = 5.5996 Å, b = 5.5996 Å, c = 3.5463 Å
α = 90.00°, β = 90.00°, γ = 143.03°
Each line ends with the local moment (μB).
Sites, in units of the cell vectors:
Al 0.9722 0.0278 0.0000  -0.01
Ni 0.8033 0.1967 0.5000  0.28
Ni 0.6395 0.3605 0.0000  0.28
Ni 0.4722 0.5278 0.5000  0.26
Ni 0.3050 0.6950 0.0000  0.28
Ni 0.1411 0.8589 0.5000  0.28

Computed properties:
DFT formation energy   -0.277 eV/atom
Crystal system   orthorhombic
DOS at the Fermi energy   7.4 states/eV/cell
E   -34.313 eV per cell

---

# 11
Computed, not measured: a relaxed structure of Al3Ni at the GGA-PBE level of DFT.

a = 4.9635 Å, b = 4.9635 Å, c = 4.9635 Å
α = 116.54°, β = 116.54°, γ = 116.54°
Sites, in units of the cell vectors:
Ni 0.5000 0.0000 0.5000
Al 0.0000 0.0000 0.0000
Al 0.5000 0.5000 0.0000
Al 0.0000 0.5000 0.5000

Computed properties:
DFT formation energy   -0.081 eV/atom
Crystal system   trigonal
DOS at the Fermi energy   1.6 states/eV/cell
E   -17.331 eV per cell

---

# 12
Computed, not measured: a relaxed structure of AlNi5 at the GGA-PBE level of DFT.

a = 4.3557 Å, b = 4.3557 Å, c = 4.0834 Å
α = 90.00°, β = 90.00°, γ = 120.00°
Each line ends with the local moment (μB).
Sites, in units of the cell vectors:
Al 0.3333 0.0000 0.5000  -0.01
Ni 0.9924 0.0000 0.0000  0.33
Ni 0.6743 0.3410 0.0000  0.33
Ni 0.3333 0.6590 0.0000  0.33
Ni 0.0000 0.3333 0.5000  0.22
Ni 0.6667 0.6667 0.5000  0.22

Computed properties:
DFT formation energy   -0.256 eV/atom
Crystal system   hexagonal
DOS at the Fermi energy   9.6 states/eV/cell
E   -34.186 eV per cell

---

# 13
Computed, not measured: a relaxed structure of Al3Ni at the GGA-PBE level of DFT.

a = 2.9180 Å, b = 4.2922 Å, c = 4.5732 Å
α = 90.00°, β = 90.00°, γ = 90.00°
Sites, in units of the cell vectors:
Ni 0.0000 0.5000 0.3193
Al 0.0000 0.0000 0.0073
Al 0.5000 0.0000 0.4934
Al 0.5000 0.5000 0.8466

Computed properties:
DFT formation energy   -0.181 eV/atom
Crystal system   orthorhombic
DOS at the Fermi energy   1.9 states/eV/cell
E   -17.734 eV per cell

---

# 14
Computed, not measured: a relaxed structure of Al6Ni5 at the GGA-PBE level of DFT.

a = 4.0471 Å, b = 5.8134 Å, c = 6.9781 Å
α = 114.62°, β = 106.86°, γ = 90.00°
Sites, in units of the cell vectors:
Al 0.5000 0.7635 0.0000
Al 0.5000 0.2365 0.0000
Al 0.8388 0.0810 0.6775
Al 0.8388 0.5965 0.6775
Al 0.1612 0.9190 0.3225
Al 0.1612 0.4035 0.3225
Ni 0.0000 0.5000 0.0000
Ni 0.6668 0.6668 0.3336
Ni 0.3332 0.3332 0.6664
Ni 0.3266 0.8266 0.6531
Ni 0.6734 0.1734 0.3469

Computed properties:
DFT formation energy   -0.618 eV/atom
Crystal system   orthorhombic
DOS at the Fermi energy   5.9 states/eV/cell
E   -58.162 eV per cell

---

# 15
Computed, not measured: a relaxed structure of AlNi5 at the GGA-PBE level of DFT.

a = 3.5720 Å, b = 5.0037 Å, c = 7.4895 Å
α = 90.00°, β = 90.00°, γ = 90.00°
Each line ends with the local moment (μB).
Sites, in units of the cell vectors:
Al 0.7500 0.6254 0.2500  -0.01
Al 0.2500 0.3746 0.7500  -0.01
Ni 0.7500 0.1256 0.2500  0.28
Ni 0.2500 0.8744 0.7500  0.28
Ni 0.2500 0.8765 0.4174  0.24
Ni 0.7500 0.1235 0.9174  0.24
Ni 0.7500 0.1235 0.5826  0.24
Ni 0.2500 0.8765 0.0826  0.24
Ni 0.2500 0.3707 0.4171  0.25
Ni 0.7500 0.6293 0.9171  0.25
Ni 0.7500 0.6293 0.5829  0.25
Ni 0.2500 0.3707 0.0829  0.25

Computed properties:
DFT formation energy   -0.271 eV/atom
Crystal system   orthorhombic
DOS at the Fermi energy   16.6 states/eV/cell
E   -68.547 eV per cell

---

# 16
Computed, not measured: a relaxed structure of AlNi2 at the GGA-PBE level of DFT.

a = 6.8118 Å, b = 6.8118 Å, c = 2.6265 Å
α = 90.00°, β = 90.00°, γ = 120.00°
Sites, in units of the cell vectors:
Al 0.3333 0.6667 0.0000
Al 0.6667 0.3333 0.0000
Al 0.0000 0.0000 0.5000
Ni 0.2983 0.0000 0.0000
Ni 0.0000 0.2983 0.0000
Ni 0.7017 0.7017 0.0000
Ni 0.6330 0.0000 0.5000
Ni 0.0000 0.6330 0.5000
Ni 0.3670 0.3670 0.5000

Computed properties:
DFT formation energy   -0.426 eV/atom
Crystal system   hexagonal
DOS at the Fermi energy   6.9 states/eV/cell
E   -49.754 eV per cell

---

# 17
Computed, not measured: a relaxed structure of Al3Ni at the GGA-PBE level of DFT.

a = 8.1894 Å, b = 8.1894 Å, c = 8.1894 Å
α = 152.92°, β = 152.92°, γ = 38.67°
Sites, in units of the cell vectors:
Al 0.0000 0.5000 0.5000
Al 0.5000 0.0000 0.5000
Al 0.7500 0.2500 0.5000
Al 0.2500 0.7500 0.5000
Al 0.8763 0.8763 0.0000
Al 0.1237 0.1237 0.0000
Ni 0.6287 0.6287 0.0000
Ni 0.3713 0.3713 0.0000

Computed properties:
DFT formation energy   -0.233 eV/atom
Crystal system   tetragonal
DOS at the Fermi energy   3.4 states/eV/cell
E   -35.883 eV per cell

---

# 18
Computed, not measured: a relaxed structure of Al7Ni3 at the GGA-PBE level of DFT.

a = 7.2642 Å, b = 7.2642 Å, c = 7.2642 Å
α = 109.47°, β = 109.47°, γ = 109.47°
Sites, in units of the cell vectors:
Al 0.2500 0.5000 0.7500
Al 0.7500 0.5000 0.2500
Al 0.5000 0.7500 0.2500
Al 0.5000 0.2500 0.7500
Al 0.2500 0.7500 0.5000
Al 0.7500 0.2500 0.5000
Al 0.0000 0.3196 0.0000
Al 0.6804 0.6804 0.6804
Al 0.0000 0.0000 0.6804
Al 0.6804 0.0000 0.0000
Al 0.3196 0.0000 0.0000
Al 0.0000 0.0000 0.3196
Al 0.3196 0.3196 0.3196
Al 0.0000 0.6804 0.0000
Ni 0.0000 0.3483 0.3483
Ni 0.0000 0.6517 0.6517
Ni 0.3483 0.3483 0.0000
Ni 0.6517 0.6517 0.0000
Ni 0.6517 0.0000 0.6517
Ni 0.3483 0.0000 0.3483

Computed properties:
DFT formation energy   -0.454 eV/atom
Crystal system   cubic
DOS at the Fermi energy   7.8 states/eV/cell
E   -96.166 eV per cell

---

# 19
Computed, not measured: a relaxed structure of Al3Ni8 at the GGA-PBE level of DFT.

a = 5.3688 Å, b = 5.3688 Å, c = 5.3688 Å
α = 96.58°, β = 96.58°, γ = 96.58°
Each line ends with the local moment (μB).
Sites, in units of the cell vectors:
Al 0.5000 0.0000 0.5000  0.00
Al 0.0000 0.5000 0.5000  0.00
Al 0.5000 0.5000 0.0000  0.00
Ni 0.9691 0.3130 0.0674  0.15
Ni 0.3130 0.0674 0.9691  0.15
Ni 0.0674 0.9691 0.3130  0.15
Ni 0.3611 0.3611 0.3611  0.09
Ni 0.6389 0.6389 0.6389  0.09
Ni 0.9326 0.0309 0.6870  0.15
Ni 0.6870 0.9326 0.0309  0.15
Ni 0.0309 0.6870 0.9326  0.15

Computed properties:
DFT formation energy   0.161 eV/atom
Crystal system   trigonal
DOS at the Fermi energy   16.8 states/eV/cell
E   -55.711 eV per cell

---

# 20
Computed, not measured: a relaxed structure of Al5Ni6 at the GGA-PBE level of DFT.

a = 4.0907 Å, b = 5.5274 Å, c = 7.0666 Å
α = 113.02°, β = 108.15°, γ = 90.00°
Sites, in units of the cell vectors:
Al 0.0000 0.5000 0.0000
Al 0.6663 0.6654 0.3308
Al 0.3337 0.3346 0.6692
Al 0.3298 0.8301 0.6601
Al 0.6702 0.1699 0.3399
Ni 0.4998 0.7612 0.0000
Ni 0.5002 0.2388 0.0000
Ni 0.8379 0.0833 0.6788
Ni 0.8378 0.5954 0.6787
Ni 0.1621 0.9167 0.3212
Ni 0.1622 0.4046 0.3213

Computed properties:
DFT formation energy   -0.498 eV/atom
Crystal system   monoclinic
DOS at the Fermi energy   5.2 states/eV/cell
E   -58.878 eV per cell

---

# 21
Computed, not measured: a relaxed structure of Al3Ni at the GGA-PBE level of DFT.

a = 4.8591 Å, b = 4.8591 Å, c = 4.8591 Å
α = 90.00°, β = 90.00°, γ = 90.00°
Sites, in units of the cell vectors:
Al 0.2500 0.5000 0.0000
Al 0.7500 0.5000 0.0000
Al 0.0000 0.2500 0.5000
Al 0.0000 0.7500 0.5000
Al 0.5000 0.0000 0.2500
Al 0.5000 0.0000 0.7500
Ni 0.0000 0.0000 0.0000
Ni 0.5000 0.5000 0.5000

Computed properties:
DFT formation energy   -0.240 eV/atom
Crystal system   cubic
DOS at the Fermi energy   3.9 states/eV/cell
E   -35.935 eV per cell